DFT (meta-GGA SCAN) results for a PBEsol-optimized structure of Fe2ReBr.

abc: 4.2341 4.2341 4.2341
angles: 60.00 60.00 60.00
Site moments in Bohr magnetons follow the coordinates.
Atoms (fractional coordinates):
Br (0.0000, 0.0000, 0.0000)  0.09
Fe (0.7500, 0.7500, 0.7500)  1.82
Fe (0.2500, 0.2500, 0.2500)  1.82
Re (0.5000, 0.5000, 0.5000)  0.17

Output
crystal system = cubic
E above lowest polymorph = 620.4 meV per atom
size of the total moment = 3.8 μB/f.u.
uncorrected formation energy = 1.291 eV/atom
space-group type = Fm-3m, No. 225